[1]
Compound: PrHoRe4
Source: Alexandria via LeMat-Bulk
Functional: PBE
Structure: relaxed

The value obtained for the total magnetic moment is 0.00 μB/f.u. The formation energy from the elements is -30 meV per atom. The calculation puts the volume at 19.30 Å³ per atom. Its density of states at the Fermi level is 8.16 states/eV/cell. For the mass density, the calculation gives 15.068 Mg/m³. As for the total energy: -59.33 eV/cell.

abc: 5.4709 5.4709 5.4709
angles: 60.00 60.00 60.00
Sites, in units of the cell vectors:
Re 0.6251 0.1246 0.6251
Re 0.6251 0.6251 0.6251
Pr 0.2500 0.2500 0.2500
Re 0.1246 0.6251 0.6251
Ho 0.0000 0.0000 0.0000
Re 0.6251 0.6251 0.1246

=====

[2]
Compound: Pr3HoRh
Source: Alexandria via LeMat-Bulk
Functional: PBE
Structure: relaxed

The value obtained for the total magnetic moment is 0.01 μB/f.u. The formation energy from the elements is -79 meV per atom. The calculation puts the volume at 35.14 Å³ per atom. Its density of states at the Fermi level is 9.70 states/eV/cell. For the mass density, the calculation gives 6.526 Mg/m³. As for the total energy: -26.66 eV/cell.

abc: 5.6011 5.6011 5.6011
angles: 90.00 90.00 90.00
Sites, in units of the cell vectors:
Pr 0.5000 0.0000 0.0000
Rh 0.0000 0.0000 0.0000
Pr 0.0000 0.5000 0.0000
Pr 0.0000 0.0000 0.5000
Ho 0.5000 0.5000 0.5000

=====

[3]
Compound: PrHo3Rh
Source: Alexandria via LeMat-Bulk
Functional: PBE
Structure: relaxed

The energy relative to the lowest polymorph listed for this composition is 0 meV/atom. The value obtained for the total magnetic moment is 0.00 μB/f.u. The formation energy from the elements is -300 meV per atom. The calculation puts the volume at 30.69 Å³ per atom. Its density of states at the Fermi level is 11.94 states/eV/cell. For the mass density, the calculation gives 7.993 Mg/m³. As for the total energy: -54.73 eV/cell.

abc: 6.1960 6.5393 7.5745
angles: 90.00 90.00 90.00
Sites, in units of the cell vectors:
Pr 0.9348 0.0320 0.2007
Rh 0.1738 0.6862 0.7008
Ho 0.4268 0.8563 0.9531
Ho 0.4158 0.3296 0.2008
Ho 0.9158 0.0231 0.7007
Rh 0.6738 0.6666 0.2008
Ho 0.9268 0.4965 0.9485
Ho 0.9269 0.4965 0.4531
Pr 0.4349 0.3208 0.7008
Ho 0.4267 0.8563 0.4484

=====

[4]
Compound: PrHo2Rh9
Source: Alexandria via LeMat-Bulk
Functional: PBE
Structure: relaxed

The value obtained for the total magnetic moment is 0.00 μB/f.u. The formation energy from the elements is -560 meV per atom. The calculation puts the volume at 17.68 Å³ per atom. Its density of states at the Fermi level is 13.82 states/eV/cell. For the mass density, the calculation gives 10.935 Mg/m³. As for the total energy: -86.81 eV/cell.

abc: 5.2896 5.2896 9.2721
angles: 73.43 73.43 60.00
Sites, in units of the cell vectors:
Ho 0.8604 0.8604 0.4187
Rh 0.4162 0.4162 0.2503
Rh 0.3331 0.3331 0.0008
Rh 0.6669 0.6669 0.9992
Rh 0.5838 0.5838 0.7497
Rh 0.5838 0.0828 0.7497
Rh 0.4162 0.9172 0.2503
Pr 0.0000 0.0000 0.0000
Rh 0.0828 0.5838 0.7497
Rh 0.9172 0.4162 0.2503
Ho 0.1396 0.1396 0.5813
Rh 0.5000 0.5000 0.5000

=====

[5]
Compound: Pr4HoRh4
Source: Alexandria via LeMat-Bulk
Functional: PBE
Structure: relaxed

The value obtained for the total magnetic moment is 0.00 μB/f.u. The formation energy from the elements is -562 meV per atom. The calculation puts the volume at 25.89 Å³ per atom. Its density of states at the Fermi level is 11.59 states/eV/cell. For the mass density, the calculation gives 8.124 Mg/m³. As for the total energy: -116.33 eV/cell.

abc: 5.8290 8.9421 8.9421
angles: 90.00 90.00 90.00
Sites, in units of the cell vectors:
Rh 0.3931 0.3806 0.2308
Pr 0.9013 0.5805 0.8070
Rh 0.8931 0.2692 0.8806
Ho 0.0000 0.0000 0.0000
Rh 0.1069 0.8806 0.7308
Rh 0.1069 0.1194 0.2692
Rh 0.6069 0.2308 0.6194
Rh 0.3931 0.6194 0.7692
Pr 0.0987 0.8070 0.4195
Pr 0.4013 0.3070 0.9195
Pr 0.4013 0.6930 0.0805
Pr 0.5987 0.0805 0.3070
Rh 0.8931 0.7308 0.1194
Pr 0.0987 0.1930 0.5805
Pr 0.9013 0.4195 0.1930
Rh 0.6069 0.7692 0.3806
Pr 0.5987 0.9195 0.6930
Ho 0.5000 0.5000 0.5000

=====

[6]
Compound: Pr3Ho2Rh2
Source: Alexandria via LeMat-Bulk
Functional: PBE
Structure: relaxed

The value obtained for the total magnetic moment is 0.00 μB/f.u. The formation energy from the elements is -477 meV per atom. The calculation puts the volume at 28.17 Å³ per atom. Its density of states at the Fermi level is 6.15 states/eV/cell. For the mass density, the calculation gives 8.071 Mg/m³. As for the total energy: -41.53 eV/cell.

abc: 3.9175 6.4610 8.7255
angles: 100.76 102.99 107.66
Sites, in units of the cell vectors:
Ho 0.6415 0.4692 0.8145
Pr 0.1854 0.7985 0.5737
Pr 0.8146 0.2015 0.4263
Rh 0.9467 0.1350 0.7596
Ho 0.3585 0.5308 0.1855
Pr 0.5000 0.0000 0.0000
Rh 0.0533 0.8650 0.2404

=====

[7]
Compound: PrHo5Rh4
Source: Alexandria via LeMat-Bulk
Functional: PBE
Structure: relaxed

The energy relative to the lowest polymorph listed for this composition is 0 meV/atom. The value obtained for the total magnetic moment is 0.00 μB/f.u. The formation energy from the elements is -728 meV per atom. The calculation puts the volume at 22.62 Å³ per atom. Its density of states at the Fermi level is 6.62 states/eV/cell. For the mass density, the calculation gives 10.109 Mg/m³. As for the total energy: -64.35 eV/cell.

abc: 3.4303 3.4303 19.2244
angles: 90.00 90.00 90.00
Sites, in units of the cell vectors:
Ho 0.5000 0.5000 0.8512
Ho 0.5000 0.5000 0.6772
Ho 0.5000 0.5000 0.3228
Rh 0.0000 0.0000 0.2319
Pr 0.0000 0.0000 0.0000
Rh 0.0000 0.0000 0.5888
Ho 0.5000 0.5000 0.5000
Rh 0.0000 0.0000 0.4112
Rh 0.0000 0.0000 0.7681
Ho 0.5000 0.5000 0.1488

=====

[8]
Compound: PrHo2Rh2
Source: Alexandria via LeMat-Bulk
Functional: PBE
Structure: relaxed

The value obtained for the total magnetic moment is 0.00 μB/f.u. The formation energy from the elements is -574 meV per atom. The calculation puts the volume at 24.75 Å³ per atom. Its density of states at the Fermi level is 3.39 states/eV/cell. For the mass density, the calculation gives 9.079 Mg/m³. As for the total energy: -31.51 eV/cell.

abc: 4.5161 4.5161 7.0468
angles: 111.08 111.08 89.98
Sites, in units of the cell vectors:
Ho 0.2473 0.7527 0.5000
Ho 0.7527 0.2473 0.5000
Rh 0.4144 0.4144 0.7852
Pr 0.0000 0.0000 0.0000
Rh 0.5856 0.5856 0.2148